Material: Ba3NaW2O9
Method: DFT, PBE+U
State: relaxed

Total DFT energy (no corrections) (eV/cell): -102.837

POSCAR file:
```
Ba3NaW2O9
1.0
5.945 0.000 0.000
-2.972 5.148 0.000
0.000 0.000 7.278
Ba Na W O
3 1 2 9
direct
0.000 0.000 0.000 Ba
0.333 0.667 0.659 Ba
0.667 0.333 0.341 Ba
0.000 0.000 0.500 Na
0.333 0.667 0.166 W
0.667 0.333 0.834 W
0.000 0.500 0.000 O
0.178 0.356 0.308 O
0.178 0.822 0.308 O
0.356 0.178 0.692 O
0.500 0.000 0.000 O
0.500 0.500 0.000 O
0.644 0.822 0.308 O
0.822 0.178 0.692 O
0.822 0.644 0.692 O
```